(1)
# Na2GaAsI, optimized geometry, DFT PBE-GGA
data_Na2GaAsI
_chemical_formula_sum 'Na2 Ga1 As1 I1'
_cell_length_a 5.883
_cell_length_b 5.712
_cell_length_c 5.883
_cell_angle_alpha 90.00
_cell_angle_beta 90.00
_cell_angle_gamma 90.00
_symmetry_space_group_name_H-M 'P 1'
_symmetry_Int_Tables_number 1
loop_
_symmetry_equiv_pos_as_xyz
'x,y,z'
loop_
_atom_site_label
_atom_site_fract_x
_atom_site_fract_y
_atom_site_fract_z
_atom_site_occupancy
Na1 0.500 0.000 0.000 1
Na2 0.000 0.000 0.500 1
Ga1 0.000 0.000 0.000 1
As1 0.500 0.500 0.500 1
I1 0.000 0.500 0.000 1
# Raw formation energy   0.4048 eV per atom

---

(2)
# Rb3InN, optimized geometry, DFT PBE-GGA
data_Rb3InN
_chemical_formula_sum 'Rb3 In1 N1'
_cell_length_a 5.924
_cell_length_b 5.924
_cell_length_c 5.924
_cell_angle_alpha 90.00
_cell_angle_beta 90.00
_cell_angle_gamma 90.00
_symmetry_space_group_name_H-M 'P 1'
_symmetry_Int_Tables_number 1
loop_
_symmetry_equiv_pos_as_xyz
'x,y,z'
loop_
_atom_site_label
_atom_site_fract_x
_atom_site_fract_y
_atom_site_fract_z
_atom_site_occupancy
Rb1 0.000 0.500 0.000 1
Rb2 0.000 0.000 0.500 1
Rb3 0.500 0.000 0.000 1
In1 0.500 0.500 0.500 1
N1 0.000 0.000 0.000 1
# Energy above the lowest structure with this stoichiometry   0 meV/atom
# Raw formation energy   0.6342 eV per atom

---

(3)
# PaGaH, optimized geometry, DFT PBE-GGA
data_PaGaH
_chemical_formula_sum 'Pa1 Ga1 H1'
_cell_length_a 4.379
_cell_length_b 3.752
_cell_length_c 3.752
_cell_angle_alpha 120.00
_cell_angle_beta 90.00
_cell_angle_gamma 90.00
_symmetry_space_group_name_H-M 'P 1'
_symmetry_Int_Tables_number 1
loop_
_symmetry_equiv_pos_as_xyz
'x,y,z'
loop_
_atom_site_label
_atom_site_fract_x
_atom_site_fract_y
_atom_site_fract_z
_atom_site_occupancy
Pa1 0.166 0.000 0.000 1
Ga1 0.666 0.667 0.333 1
H1 0.169 0.333 0.667 1
# Energy above the lowest structure with this stoichiometry   294 meV/atom

---

(4)
# CaSm5, optimized geometry, DFT PBE-GGA
data_CaSm5
_chemical_formula_sum 'Ca1 Sm5'
_cell_length_a 3.935
_cell_length_b 5.865
_cell_length_c 9.530
_cell_angle_alpha 107.92
_cell_angle_beta 90.00
_cell_angle_gamma 90.00
_symmetry_space_group_name_H-M 'P 1'
_symmetry_Int_Tables_number 1
loop_
_symmetry_equiv_pos_as_xyz
'x,y,z'
loop_
_atom_site_label
_atom_site_fract_x
_atom_site_fract_y
_atom_site_fract_z
_atom_site_occupancy
Sm1 0.500 0.845 0.690 1
Sm2 0.000 0.679 0.358 1
Sm3 0.500 0.155 0.310 1
Sm4 0.000 0.321 0.642 1
Sm5 0.500 0.500 0.000 1
Ca1 0.000 0.000 0.000 1
# Energy above the lowest structure with this stoichiometry   90 meV/atom
# E_form   0.1261 eV/atom

---

(5)
# Sc2V2Pb, optimized geometry, DFT PBE-GGA
data_Sc2V2Pb
_chemical_formula_sum 'Sc4 V4 Pb2'
_cell_length_a 7.566
_cell_length_b 7.566
_cell_length_c 3.512
_cell_angle_alpha 90.00
_cell_angle_beta 90.00
_cell_angle_gamma 90.00
_symmetry_space_group_name_H-M 'P 1'
_symmetry_Int_Tables_number 1
loop_
_symmetry_equiv_pos_as_xyz
'x,y,z'
loop_
_atom_site_label
_atom_site_fract_x
_atom_site_fract_y
_atom_site_fract_z
_atom_site_occupancy
V1 0.089 0.411 0.000 1
V2 0.589 0.089 0.000 1
V3 0.411 0.911 0.000 1
V4 0.911 0.589 0.000 1
Pb1 0.500 0.500 0.000 1
Pb2 0.000 0.000 0.000 1
Sc1 0.198 0.698 0.500 1
Sc2 0.802 0.302 0.500 1
Sc3 0.698 0.802 0.500 1
Sc4 0.302 0.198 0.500 1
# Energy above the lowest structure with this stoichiometry   0 meV/atom
# E_form   0.0998 eV/atom

---

(6)
# YSc12Tl3, optimized geometry, DFT PBE-GGA
data_YSc12Tl3
_chemical_formula_sum 'Y1 Sc12 Tl3'
_cell_length_a 4.545
_cell_length_b 4.545
_cell_length_c 18.612
_cell_angle_alpha 90.00
_cell_angle_beta 90.00
_cell_angle_gamma 90.00
_symmetry_space_group_name_H-M 'P 1'
_symmetry_Int_Tables_number 1
loop_
_symmetry_equiv_pos_as_xyz
'x,y,z'
loop_
_atom_site_label
_atom_site_fract_x
_atom_site_fract_y
_atom_site_fract_z
_atom_site_occupancy
Sc1 0.500 0.000 0.133 1
Sc2 0.000 0.500 0.378 1
Sc3 0.000 0.500 0.622 1
Sc4 0.500 0.000 0.622 1
Sc5 0.000 0.500 0.133 1
Sc6 0.500 0.500 0.258 1
Sc7 0.000 0.500 0.867 1
Sc8 0.500 0.500 0.742 1
Sc9 0.500 0.000 0.378 1
Sc10 0.500 0.500 0.500 1
Sc11 0.500 0.500 0.000 1
Sc12 0.500 0.000 0.867 1
Tl1 0.000 0.000 0.743 1
Tl2 0.000 0.000 0.500 1
Tl3 0.000 0.000 0.257 1
Y1 0.000 0.000 0.000 1
# E_form   -0.1253 eV/atom

---

For the records above, the corresponding VASP energy values read -1.97 -2.16 -5.41 -4.14 -6.82 -5.72 eV per atom.